# PrNiAu | the Alexandria database | PBE-GGA | optimized geometry
# final energy	-4.9511	eV/atom
# energy of formation from the pure elements	-0.34	eV/atom
# DOS at the Fermi energy	0.8145	states/eV per atom
data_PrNiAu
_chemical_formula_sum 'Pr1 Ni1 Au1'
_space_group_name_H-M_alt 'P 1'
_space_group_IT_number 1
_cell_length_a 3.675
_cell_length_b 3.675
_cell_length_c 5.334
_cell_angle_alpha 110.15
_cell_angle_beta 110.15
_cell_angle_gamma 90.00
loop_
_space_group_symop_operation_xyz
'x,y,z'
loop_
_atom_site_label
_atom_site_fract_x
_atom_site_fract_y
_atom_site_fract_z
Ni1 0.289 0.289 0.579
Pr1 0.622 0.622 0.243
Au1 0.939 0.939 0.878